ReAg3C: optimized geometry, PBE.

Computed properties:
symmetry	Pm-3m
magnetic moment	0.6517	μB/atom
crystal system	cubic
energy above the lowest structure with this stoichiometry	1.347	eV per atom
E	-3.067	eV/atom
Fermi-level density of states	1.446	states/eV/atom
volume	26.5	Å³/atom

Cell lengths 5.101, 5.101, 5.101 Å; angles 90.00, 90.00, 90.00 degrees
Positions (direct):
Re1 0.000 0.000 0.000
Ag1 0.000 0.000 0.500
Ag2 0.000 0.500 0.000
Ag3 0.500 0.000 0.000
C1 0.500 0.500 0.500



Tm2MgHg: optimized geometry, PBE.

Computed properties:
symmetry	P4/mmm
magnetic moment	0.0000	μB/atom
crystal system	tetragonal
energy above the lowest structure with this stoichiometry	0.000	eV per atom
E	-2.979	eV/atom
Fermi-level density of states	0.907	states/eV/atom
volume	25.4	Å³/atom

Cell lengths 3.748, 3.748, 7.242 Å; angles 90.00, 90.00, 90.00 degrees
Positions (direct):
Tm1 0.000 0.000 0.244
Tm2 0.000 0.000 0.756
Mg1 0.500 0.500 0.500
Hg1 0.500 0.500 0.000



Mg4TlBr8: optimized geometry, PBE.

Computed properties:
symmetry	C2/m
magnetic moment	0.0570	μB/atom
crystal system	monoclinic
energy relative to the elements, uncorrected	-1.234	eV per atom
E	-2.936	eV/atom
Fermi-level density of states	0.375	states/eV/atom
volume	37.2	Å³/atom

Cell lengths 7.821, 7.821, 10.843 Å; angles 117.80, 117.80, 59.93 degrees
Positions (direct):
Mg1 0.247 0.753 0.000
Mg2 0.248 0.248 0.997
Mg3 0.752 0.752 0.003
Mg4 0.753 0.247 0.000
Tl1 0.500 0.500 0.500
Br1 0.011 0.513 0.834
Br2 0.012 0.012 0.833
Br3 0.487 0.487 0.165
Br4 0.487 0.989 0.166
Br5 0.513 0.011 0.834
Br6 0.513 0.513 0.835
Br7 0.988 0.988 0.167
Br8 0.989 0.487 0.166



> Among the records above, which one has the highest Fermi-level density of states?

ReAg3C



What did the first record say?
ReAg3C: optimized geometry, PBE.

Computed properties:
symmetry	Pm-3m
magnetic moment	0.6517	μB/atom
crystal system	cubic
energy above the lowest structure with this stoichiometry	1.347	eV per atom
E	-3.067	eV/atom
Fermi-level density of states	1.446	states/eV/atom
volume	26.5	Å³/atom

Cell lengths 5.101, 5.101, 5.101 Å; angles 90.00, 90.00, 90.00 degrees
Positions (direct):
Re1 0.000 0.000 0.000
Ag1 0.000 0.000 0.500
Ag2 0.000 0.500 0.000
Ag3 0.500 0.000 0.000
C1 0.500 0.500 0.500



> Look up the Fermi-level density of states of the second one.

0.907 states/eV/atom